An optimized crystal structure of BaFeN2F. Source: Alexandria via LeMat-Bulk, functional PBE with a Hubbard U.

Output
**Raw total energy**: -4.09 eV per atom

a b c (Å): 4.7403 4.7403 4.8502
angles (deg): 90.00 90.00 90.00
Last column: nearest neighbours and their distance in Å.
Element x y z (fractional)
Ba: 0.0000 0.0000 0.0000  4 N 2.37, 2 F 2.43
Fe: 0.5000 0.5000 0.5000  4 F 3.35, 8 N 3.39
N: 0.0000 0.5000 0.0000  2 Ba 2.37
N: 0.5000 0.0000 0.0000  2 Ba 2.37
F: 0.0000 0.0000 0.5000  2 Ba 2.43